(1)
VASP calculation (PBE) on crystalline ZnHgRh2 at its relaxed geometry.

abc: 9.5993 9.5993 9.5993
angles: 156.41 156.41 33.61
With the nearest neighbours (Å) after each atom.
Fractional coordinates of all 8 atoms:
Zn 0.0000 0.0000 0.0000  4 Rh 2.62, 4 Hg 2.78
Zn 0.7500 0.2500 0.5000  4 Rh 2.62, 4 Hg 2.78
Hg 0.2500 0.7500 0.5000  4 Rh 2.76, 4 Zn 2.78
Hg 0.5000 0.5000 0.0000  4 Rh 2.76, 4 Zn 2.78
Rh 0.0789 0.6250 0.9539  2 Rh 2.53, 2 Zn 2.62, 2 Hg 2.76
Rh 0.3750 0.3289 0.4539  2 Rh 2.53, 2 Zn 2.62, 2 Hg 2.76
Rh 0.6711 0.1250 0.0461  2 Rh 2.53, 2 Zn 2.62, 2 Hg 2.76
Rh 0.8750 0.9211 0.5461  2 Rh 2.53, 2 Zn 2.62, 2 Hg 2.76

Output
D(E_F) = 5.4 states/eV/f.u.
formation energy = 339 meV per atom
crystal system = tetragonal
final energy = -3.730 eV per atom
symmetry = I-42d, No. 122

=====

(2)
VASP calculation (PBE) on crystalline Zn2HgRh at its relaxed geometry.

abc: 4.6084 3.1025 4.7871
angles: 90.00 108.63 90.00
With the nearest neighbours (Å) after each atom.
Fractional coordinates of all 4 atoms:
Zn 0.0000 0.0000 0.0000  2 Hg 2.74, 4 Rh 2.78, 4 Zn 2.85
Zn 0.0000 0.5000 0.5000  2 Rh 2.74, 4 Hg 2.78, 4 Zn 2.85
Hg 0.5000 0.0000 0.5000  6 Zn 2.74-2.78, 4 Rh 2.85
Rh 0.5000 0.5000 0.0000  6 Zn 2.74-2.78, 4 Hg 2.85

Output
D(E_F) = 1.9 states/eV/f.u.
formation energy = -48 meV per atom
crystal system = monoclinic
final energy = -2.599 eV per atom
symmetry = P2/m, No. 10

=====

(3)
VASP calculation (PBE) on crystalline ZnHgRh2 at its relaxed geometry.

abc: 4.8367 4.8367 4.8106
angles: 100.55 100.55 35.17
With the nearest neighbours (Å) after each atom.
Fractional coordinates of all 4 atoms:
Zn 0.0000 0.0000 0.0000  7 Rh 2.67-2.97, 3 Hg 2.78-2.91, 2 Zn 2.92
Hg 0.2389 0.2389 0.7243  3 Zn 2.78-2.91, 7 Rh 2.80-2.86, 2 Hg 2.92
Rh 0.4828 0.4828 0.4573  4 Zn 2.67-2.97, 5 Rh 2.71-2.92, 3 Hg 2.80-2.86
Rh 0.7422 0.7422 0.2255  5 Rh 2.71-2.92, 3 Zn 2.71-2.80, 4 Hg 2.81

Output
D(E_F) = 4.0 states/eV/f.u.
formation energy = 22 meV per atom
crystal system = monoclinic
final energy = -4.047 eV per atom
symmetry = Cm, No. 8

=====

(4)
VASP calculation (PBE) on crystalline Zn2HgRh at its relaxed geometry.

abc: 4.0412 4.0412 3.8630
angles: 90.00 90.00 90.00
With the nearest neighbours (Å) after each atom.
Fractional coordinates of all 4 atoms:
Zn 0.0000 0.5000 0.0000  4 Hg 2.80, 4 Rh 2.80, 4 Zn 2.86
Zn 0.5000 0.0000 0.0000  4 Hg 2.80, 4 Rh 2.80, 4 Zn 2.86
Hg 0.0000 0.0000 0.5000  8 Zn 2.80, 4 Rh 2.86
Rh 0.5000 0.5000 0.5000  8 Zn 2.80, 4 Hg 2.86

Output
D(E_F) = 1.9 states/eV/f.u.
formation energy = -113 meV per atom
crystal system = tetragonal
final energy = -2.663 eV per atom
symmetry = P4/mmm, No. 123

=====

(5)
VASP calculation (PBE) on crystalline Zn2HgRh at its relaxed geometry.

abc: 2.9272 4.1725 5.4782
angles: 90.00 105.20 90.00
With the nearest neighbours (Å) after each atom.
Fractional coordinates of all 4 atoms:
Zn 0.0000 0.0000 0.0000  2 Zn 2.54, 1 Hg 2.60, 4 Rh 2.68-2.69
Zn 0.1291 0.5000 0.2753  2 Zn 2.54, 2 Rh 2.72, 4 Hg 2.83
Hg 0.7434 0.0000 0.5085  5 Zn 2.60-2.83
Rh 0.4185 0.5000 0.8414  7 Zn 2.68-2.99, 2 Rh 2.93

Output
D(E_F) = 1.3 states/eV/f.u.
formation energy = -50 meV per atom
crystal system = monoclinic
final energy = -2.600 eV per atom
symmetry = Pm, No. 6

=====

(6)
VASP calculation (PBE) on crystalline ZnHgRh2 at its relaxed geometry.

abc: 4.8588 4.8588 4.8588
angles: 131.44 131.44 71.11
With the nearest neighbours (Å) after each atom.
Fractional coordinates of all 4 atoms:
Zn 0.0000 0.0000 0.0000  4 Hg 2.81, 8 Rh 2.81-2.83
Hg 0.2500 0.7500 0.5000  8 Rh 2.81-2.83, 4 Zn 2.81
Rh 0.5000 0.5000 0.0000  4 Hg 2.81, 4 Rh 2.81, 4 Zn 2.83
Rh 0.7500 0.2500 0.5000  4 Rh 2.81, 4 Zn 2.81, 4 Hg 2.83

Output
D(E_F) = 5.0 states/eV/f.u.
formation energy = 47 meV per atom
crystal system = tetragonal
final energy = -4.023 eV per atom
symmetry = I-4m2, No. 119

=====

(7)
VASP calculation (PBE) on crystalline ZnHgRh at its relaxed geometry.

abc: 4.3746 4.3746 4.3746
angles: 60.00 60.00 60.00
With the nearest neighbours (Å) after each atom.
Fractional coordinates of all 3 atoms:
Zn 0.0000 0.0000 0.0000  4 Rh 2.68
Hg 0.5000 0.5000 0.5000  4 Rh 2.68
Rh 0.7500 0.7500 0.7500  4 Zn 2.68, 4 Hg 2.68

Output
D(E_F) = 1.1 states/eV/f.u.
formation energy = 113 meV per atom
crystal system = cubic
ΔE to the lowest computed polymorph = 0.56 eV per formula unit
final energy = -2.863 eV per atom
symmetry = F-43m, No. 216

=====

(8)
VASP calculation (PBE) on crystalline Zn2HgRh at its relaxed geometry.

abc: 4.6800 4.6800 4.9483
angles: 101.33 101.33 38.09
With the nearest neighbours (Å) after each atom.
Fractional coordinates of all 4 atoms:
Zn 0.2383 0.2383 0.2141  3 Rh 2.64-2.74, 2 Zn 2.65, 3 Hg 2.77-2.89
Zn 0.7617 0.7617 0.7859  3 Rh 2.64-2.74, 2 Zn 2.65, 3 Hg 2.77-2.89
Hg 0.0000 0.0000 0.5000  6 Zn 2.77-2.89, 4 Rh 2.91, 2 Hg 3.05
Rh 0.5000 0.5000 0.0000  6 Zn 2.64-2.74, 4 Hg 2.91

Output
D(E_F) = 2.1 states/eV/f.u.
formation energy = -64 meV per atom
crystal system = monoclinic
final energy = -2.614 eV per atom
symmetry = C2/m, No. 12